The following is a DFT calculation (PBE-GGA) of a relaxed structure of Cu2IrCl8.

**Formation energy from raw total energies**: -376 meV/atom
**Magnetization**: 2.85 μB per formula unit
**Space-group type**: C2/m, No. 12
**Excess energy over the best structure of this formula in the dataset**: 0.038 eV per atom

Unit cell a=5.919 b=7.606 c=7.606 alpha=60.06 beta=84.09 gamma=84.09
Last column: magnetic moment on the atom in μB.
Sites, in units of the cell vectors:
Cu: 0.632 0.825 0.825  0.46
Cu: 0.368 0.175 0.175  0.46
Ir: 0.000 0.000 0.000  0.52
Cl: 0.228 0.279 0.860  0.10
Cl: 0.772 0.140 0.721  0.10
Cl: 0.237 0.845 0.845  0.12
Cl: 0.763 0.155 0.155  0.12
Cl: 0.228 0.860 0.279  0.10
Cl: 0.772 0.721 0.140  0.10
Cl: 0.703 0.662 0.662  0.23
Cl: 0.297 0.338 0.338  0.23